## Er2PuNiO8 (GGA+U)

Data for a relaxed Er2PuNiO8 crystal.

Cell lengths 4.620, 5.005, 7.002 Å; angles 83.52, 92.90, 95.90 degrees
Each line ends with the local moment (μB).
Sites, in units of the cell vectors:
Er1 0.431 0.519 0.734  -0.01
Er2 0.569 0.481 0.266  -0.01
Pu1 0.000 0.000 0.000  1.37
Ni1 0.000 0.000 0.500  1.09
O1 0.139 0.722 0.180  -0.07
O2 0.642 0.752 0.980  -0.07
O3 0.852 0.148 0.260  -0.09
O4 0.861 0.278 0.820  -0.07
O5 0.358 0.248 0.020  -0.07
O6 0.148 0.852 0.740  -0.09
O7 0.708 0.720 0.505  0.00
O8 0.292 0.280 0.495  0.00

crystal system: triclinic
electronic total energy: -7.91 eV per atom
N(E_F): 1.44 states/eV/cell